5
Lattice="-2.1557 4.3865 0.8462 -1.3237 0.3758 -5.3201 -4.3046 -2.2908 0.9092" Properties=species:S:1:pos:R:3 comment="BaCo2CuP PBE-GGA optimized geometry" m_tot_mub_per_fu=3.08 delta_e_f_mev_per_atom=2215 dos_ef_per_ev_atom=1.63 pbc="T T T"
Ba 0.0000 0.0000 0.0000
P -0.6619 0.1879 -2.6600
Co -2.1523 -1.1454 0.4546
Co -1.0778 2.1932 0.4231
Cu -3.8920 1.2357 -1.7823

***

5
Lattice="5.9853 0.0000 0.0000 0.0000 4.4572 0.0000 0.0000 0.0000 5.9853" Properties=species:S:1:pos:R:3 comment="Ba2CoCuSe PBE-GGA optimized geometry" m_tot_mub_per_fu=1.37 dos_ef_per_ev_atom=0.85 e_form_raw_ev_per_atom=-0.209 pbc="T T T"
Ba 2.9927 0.0000 0.0000
Ba 0.0000 0.0000 2.9927
Se 2.9927 2.2286 2.9927
Co 0.0000 2.2286 0.0000
Cu 0.0000 0.0000 0.0000

***

5
Lattice="-1.3747 2.5251 5.3463 -2.3741 -3.6982 1.1363 4.9879 -2.4521 2.4407" Properties=species:S:1:pos:R:3 comment="Ba2TaCoCu PBE-GGA optimized geometry" m_tot_mub_per_fu=1.30 delta_e_f_mev_per_atom=804 dos_ef_per_ev_atom=1.22 pbc="T T T"
Ba 2.4939 -1.2261 1.2203
Ba -0.6873 1.2626 2.6731
Cu 0.6196 -1.8126 4.4616
Co 0.0000 0.0000 0.0000
Ta -1.1870 -1.8491 0.5681

***

5
Lattice="-4.9980 0.6018 2.8750 0.7237 -4.4543 2.1905 2.8157 2.5972 4.3513" Properties=species:S:1:pos:R:3 comment="Ba2TlCoCu PBE-GGA optimized geometry" m_tot_mub_per_fu=0.02 delta_e_f_mev_per_atom=220 dos_ef_per_ev_atom=0.95 pbc="T T T"
Tl 0.3618 -2.2272 1.0952
Cu -0.7293 -0.6276 4.7083
Ba 1.4078 1.2986 2.1756
Ba -2.4990 0.3009 1.4375
Co 0.0000 0.0000 0.0000

***

The records above give, respectively, raw total energy values of -2.9128 -3.9153 -4.5759 -3.2628 eV/atom.